No. 1
The following is a DFT calculation (GGA-PBE) of GdTlZnO3 after structural relaxation.

a = 6.1870 Å, b = 6.1870 Å, c = 9.1794 Å
α = 90.01°, β = 90.01°, γ = 33.57°
Element x y z (fractional)
O 0.0299 0.0299 0.2500
O 0.3825 0.3825 0.4503
O 0.9701 0.9701 0.7500
O 0.6175 0.6175 0.5497
O 0.6175 0.6175 0.9503
O 0.3825 0.3825 0.0497
Zn 0.5791 0.5791 0.7500
Zn 0.4209 0.4209 0.2500
Gd 0.0000 0.0000 0.0000
Gd 0.0000 0.0000 0.5000
Tl 0.2909 0.2909 0.7500
Tl 0.7091 0.7091 0.2500

Output
Its total energy is -69.3 eV/cell. Its crystal system is orthorhombic.



No. 2
The following is a DFT calculation (GGA-PBE) of Gd2Tm2O5 after structural relaxation.

a = 9.4581 Å, b = 3.8886 Å, c = 3.8886 Å
α = 90.00°, β = 90.00°, γ = 90.00°
Element x y z (fractional)
O 0.1396 0.0000 0.5000
O 0.8604 0.5000 0.0000
O 0.8604 0.0000 0.5000
O 0.1396 0.5000 0.0000
O 0.5000 0.5000 0.5000
Tm 0.5000 0.0000 0.0000
Tm 0.0000 0.0000 0.0000
Gd 0.2411 0.5000 0.5000
Gd 0.7589 0.5000 0.5000

Output
The energy above the lowest structure with this stoichiometry comes out at 0.0 meV/atom. Its crystal system is tetragonal.



No. 3
The following is a DFT calculation (GGA-PBE) of Gd2Tm2O5 after structural relaxation.

a = 7.5705 Å, b = 4.2518 Å, c = 4.2518 Å
α = 90.00°, β = 90.00°, γ = 90.00°
Element x y z (fractional)
O 0.7641 0.5000 0.0000
O 0.2359 0.0000 0.5000
O 0.2359 0.5000 0.0000
O 0.5000 0.5000 0.5000
O 0.7641 0.0000 0.5000
Gd 0.5000 0.0000 0.0000
Gd 0.0000 0.0000 0.0000
Tm 0.7721 0.5000 0.5000
Tm 0.2279 0.5000 0.5000

Output
The energy above the lowest structure with this stoichiometry comes out at 109.0 meV/atom. Its crystal system is tetragonal.



No. 4
The following is a DFT calculation (GGA-PBE) of GdTm2O3 after structural relaxation.

a = 3.3620 Å, b = 3.3620 Å, c = 8.3180 Å
α = 90.00°, β = 90.00°, γ = 120.00°
Element x y z (fractional)
O 0.3333 0.6667 0.6941
O 0.6667 0.3333 0.3059
O 0.0000 0.0000 0.0000
Gd 0.0000 0.0000 0.5000
Tm 0.6667 0.3333 0.8351
Tm 0.3333 0.6667 0.1649

Output
Its total energy is -45.3 eV/cell. Its crystal system is trigonal.



No. 5
The following is a DFT calculation (GGA-PBE) of GdTm2O4 after structural relaxation.

a = 6.6995 Å, b = 6.6995 Å, c = 6.6995 Å
α = 119.99°, β = 90.02°, γ = 119.99°
Element x y z (fractional)
O 0.1590 0.7727 0.3863
O 0.6137 0.7727 0.3864
O 0.6136 0.2273 0.3863
O 0.1364 0.2727 0.8637
O 0.1363 0.2727 0.4090
O 0.5910 0.7273 0.8637
O 0.6137 0.2273 0.8410
O 0.1363 0.7273 0.8636
Tm 0.3750 0.2500 0.6250
Tm 0.8750 0.2500 0.6250
Tm 0.3750 0.7500 0.6250
Tm 0.3750 0.7500 0.1250
Gd 0.7500 0.5000 0.2500
Gd 0.0000 0.0000 0.0000

Output
Its total energy is -112.8 eV/cell. Its crystal system is cubic.



No. 6
The following is a DFT calculation (GGA-PBE) of Gd2YO3 after structural relaxation.

a = 3.4249 Å, b = 3.4249 Å, c = 8.3630 Å
α = 90.00°, β = 90.00°, γ = 120.00°
Element x y z (fractional)
O 0.6667 0.3333 0.8397
O 0.0000 0.0000 0.5000
O 0.3333 0.6667 0.1603
Gd 0.6667 0.3333 0.3334
Gd 0.3333 0.6667 0.6666
Y 0.0000 0.0000 0.0000

Output
Its total energy is -47.3 eV/cell. Its crystal system is trigonal.



No. 7
The following is a DFT calculation (GGA-PBE) of GdY2O4 after structural relaxation.

a = 6.7875 Å, b = 6.7875 Å, c = 6.7875 Å
α = 119.99°, β = 90.01°, γ = 119.99°
Element x y z (fractional)
Gd 0.0000 0.0000 0.0000
Gd 0.7500 0.5000 0.2500
O 0.1336 0.2674 0.4010
O 0.6162 0.2326 0.3836
O 0.5990 0.7326 0.8664
O 0.1336 0.7326 0.8662
O 0.1510 0.7674 0.3836
O 0.6164 0.7674 0.3838
O 0.1338 0.2674 0.8664
O 0.6164 0.2326 0.8490
Y 0.8750 0.2500 0.6250
Y 0.3750 0.7500 0.6250
Y 0.3750 0.7500 0.1250
Y 0.3750 0.2500 0.6250

Output
Its total energy is -119.7 eV/cell. Its crystal system is cubic.



No. 8
The following is a DFT calculation (GGA-PBE) of GdZnO3 after structural relaxation.

a = 5.2931 Å, b = 5.2931 Å, c = 5.2931 Å
α = 63.21°, β = 63.21°, γ = 63.21°
Element x y z (fractional)
Gd 0.7500 0.7500 0.7500
Gd 0.2500 0.2500 0.2500
O 0.6570 0.8430 0.2500
O 0.8430 0.2500 0.6570
O 0.3430 0.1570 0.7500
O 0.2500 0.6570 0.8430
O 0.7500 0.3430 0.1570
O 0.1570 0.7500 0.3430
Zn 0.5000 0.5000 0.5000
Zn 0.0000 0.0000 0.0000

Output
Its total energy is -62.7 eV/cell. Its crystal system is trigonal.



No. 9
The following is a DFT calculation (GGA-PBE) of Gd2Zn2O5 after structural relaxation.

a = 8.6989 Å, b = 3.9791 Å, c = 3.9791 Å
α = 90.00°, β = 90.00°, γ = 90.00°
Element x y z (fractional)
O 0.1412 0.0000 0.5000
O 0.8588 0.0000 0.5000
O 0.5000 0.5000 0.5000
O 0.1412 0.5000 0.0000
O 0.8588 0.5000 0.0000
Zn 0.0000 0.0000 0.0000
Zn 0.5000 0.0000 0.0000
Gd 0.7572 0.5000 0.5000
Gd 0.2428 0.5000 0.5000

Output
Its total energy is -52.7 eV/cell. Its crystal system is tetragonal.



No. 10
The following is a DFT calculation (GGA-PBE) of GdZnO3 after structural relaxation.

a = 3.7964 Å, b = 3.7964 Å, c = 4.0613 Å
α = 90.00°, β = 90.00°, γ = 90.00°
Element x y z (fractional)
O 0.5000 0.5000 0.0869
O 0.0000 0.5000 0.6312
O 0.5000 0.0000 0.6312
Gd 0.0000 0.0000 0.9836
Zn 0.5000 0.5000 0.5671

Output
Its total energy is -30.7 eV/cell. Its crystal system is tetragonal.



No. 11
The following is a DFT calculation (GGA-PBE) of GdZnO3 after structural relaxation.

a = 5.4877 Å, b = 5.4877 Å, c = 5.7748 Å
α = 61.63°, β = 61.63°, γ = 60.00°
Element x y z (fractional)
O 0.9738 0.5551 0.2586
O 0.5551 0.2124 0.2586
O 0.0262 0.4449 0.7414
O 0.7876 0.0262 0.7414
O 0.4449 0.7876 0.7414
O 0.2124 0.9739 0.2586
Zn 0.8499 0.8499 0.4504
Zn 0.1501 0.1501 0.5496
Gd 0.6320 0.6320 0.1039
Gd 0.3680 0.3680 0.8961

Output
Its total energy is -61.9 eV/cell. Its crystal system is trigonal.



No. 12
The following is a DFT calculation (GGA-PBE) of GdZnO3 after structural relaxation.

a = 5.2740 Å, b = 5.7922 Å, c = 7.5202 Å
α = 90.00°, β = 90.00°, γ = 90.00°
Element x y z (fractional)
Gd 0.5228 0.5838 0.2500
Gd 0.9772 0.0838 0.2500
Gd 0.0228 0.9162 0.7500
Gd 0.4772 0.4162 0.7500
Zn 0.0000 0.5000 0.5000
Zn 0.5000 0.0000 0.5000
Zn 0.5000 0.0000 0.0000
Zn 0.0000 0.5000 0.0000
O 0.8907 0.5318 0.7500
O 0.8047 0.8147 0.4471
O 0.1093 0.4682 0.2500
O 0.3047 0.6853 0.5529
O 0.1953 0.1853 0.9471
O 0.3907 0.9682 0.2500
O 0.8047 0.8147 0.0529
O 0.1953 0.1853 0.5529
O 0.6093 0.0318 0.7500
O 0.6953 0.3147 0.0529
O 0.3047 0.6853 0.9471
O 0.6953 0.3147 0.4471

Output
Its total energy is -126.6 eV/cell. Its crystal system is orthorhombic.